(1)
PrAl2Ag2Pd after structural relaxation. Source: the Alexandria database, functional GGA-PBE.

Cell lengths 4.732, 4.732, 5.892 Å; angles 90.00, 90.00, 90.00 degrees
Fractional coordinates of all 6 atoms:
1 Pr 0.000 0.000 0.000
2 Al 0.000 0.500 0.500
3 Al 0.500 0.000 0.500
4 Ag 0.500 0.500 0.233
5 Ag 0.500 0.500 0.767
6 Pd 0.000 0.000 0.500

Computed properties:
Its total energy is -0.3036 Ry/atom. The space group is P4/mmm. Its density of states at the Fermi level is 0.510 states/eV/atom. The value obtained for the formation energy is -26 kJ/mol of atoms.

(2)
PrAl3AgPd after structural relaxation. Source: the Alexandria database, functional GGA-PBE.

Cell lengths 7.273, 7.273, 6.024 Å; angles 90.00, 90.00, 130.86 degrees
Fractional coordinates of all 12 atoms:
1 Pr 0.206 0.794 0.750
2 Pr 0.794 0.206 0.250
3 Al 0.216 0.216 0.000
4 Al 0.216 0.216 0.500
5 Al 0.370 0.630 0.250
6 Al 0.630 0.370 0.750
7 Al 0.784 0.784 0.000
8 Al 0.784 0.784 0.500
9 Ag 0.156 0.844 0.250
10 Ag 0.844 0.156 0.750
11 Pd 0.417 0.583 0.750
12 Pd 0.583 0.417 0.250

Computed properties:
Its total energy is -0.3243 Ry/atom. The space group is Cmcm. Its density of states at the Fermi level is 0.383 states/eV/atom. The value obtained for the formation energy is -39 kJ/mol of atoms.

(3)
PrAl4Ag2Pd after structural relaxation. Source: the Alexandria database, functional GGA-PBE.

Cell lengths 9.370, 9.370, 9.370 Å; angles 27.21, 27.21, 27.21 degrees
Fractional coordinates of all 8 atoms:
1 Pr 0.000 0.000 0.000
2 Al 0.133 0.133 0.133
3 Al 0.404 0.404 0.404
4 Al 0.596 0.596 0.596
5 Al 0.867 0.867 0.867
6 Ag 0.242 0.242 0.242
7 Ag 0.758 0.758 0.758
8 Pd 0.500 0.500 0.500

Computed properties:
Its total energy is -0.3108 Ry/atom. The space group is R-3m. Its density of states at the Fermi level is 0.415 states/eV/atom. The value obtained for the formation energy is -38 kJ/mol of atoms.

(4)
Pr2AlAgPd6 after structural relaxation. Source: the Alexandria database, functional GGA-PBE.

Cell lengths 5.060, 6.163, 6.975 Å; angles 71.22, 71.50, 80.99 degrees
Fractional coordinates of all 10 atoms:
1 Pr 0.033 0.332 0.316
2 Pr 0.967 0.668 0.684
3 Al 0.500 0.000 0.000
4 Ag 0.500 0.000 0.500
5 Pd 0.020 0.112 0.786
6 Pd 0.350 0.689 0.915
7 Pd 0.483 0.646 0.305
8 Pd 0.517 0.354 0.695
9 Pd 0.650 0.311 0.085
10 Pd 0.980 0.888 0.214

Computed properties:
Its total energy is -0.3922 Ry/atom. The space group is P-1. Its density of states at the Fermi level is 0.404 states/eV/atom. The value obtained for the formation energy is -58 kJ/mol of atoms.

(5)
Al2AgPdRh after structural relaxation. Source: the Alexandria database, functional GGA-PBE.

Cell lengths 4.549, 4.549, 4.972 Å; angles 90.00, 90.00, 90.00 degrees
Fractional coordinates of all 5 atoms:
1 Al 0.000 0.500 0.000
2 Al 0.500 0.000 0.000
3 Ag 0.000 0.000 0.500
4 Pd 0.000 0.000 0.000
5 Rh 0.500 0.500 0.500

Computed properties:
Its total energy is -0.3013 Ry/atom. The space group is P4/mmm. Its density of states at the Fermi level is 0.935 states/eV/atom. The value obtained for the formation energy is 46 kJ/mol of atoms.

(6)
AlAgPd2Ru after structural relaxation. Source: the Alexandria database, functional GGA-PBE.

Cell lengths 4.865, 4.865, 4.812 Å; angles 90.00, 90.00, 90.00 degrees
Fractional coordinates of all 5 atoms:
1 Al 0.000 0.000 0.000
2 Ag 0.500 0.500 0.500
3 Pd 0.000 0.500 0.500
4 Pd 0.500 0.000 0.500
5 Ru 0.500 0.500 0.000

Computed properties:
Its total energy is -0.2824 Ry/atom. The space group is P4/mmm. Its density of states at the Fermi level is 0.836 states/eV/atom. The value obtained for the formation energy is 136 kJ/mol of atoms.

(7)
Sm2Al5Ag2Pd after structural relaxation. Source: the Alexandria database, functional GGA-PBE.

Cell lengths 9.998, 9.998, 3.950 Å; angles 90.00, 90.00, 90.00 degrees
Fractional coordinates of all 20 atoms:
1 Sm 0.184 0.316 0.000
2 Sm 0.316 0.816 0.000
3 Sm 0.684 0.184 0.000
4 Sm 0.816 0.684 0.000
5 Al 0.000 0.500 0.500
6 Al 0.047 0.810 0.500
7 Al 0.190 0.047 0.500
8 Al 0.310 0.547 0.500
9 Al 0.453 0.310 0.500
10 Al 0.500 0.000 0.500
11 Al 0.547 0.690 0.500
12 Al 0.690 0.453 0.500
13 Al 0.810 0.953 0.500
14 Al 0.953 0.190 0.500
15 Ag 0.115 0.615 0.000
16 Ag 0.385 0.115 0.000
17 Ag 0.615 0.885 0.000
18 Ag 0.885 0.385 0.000
19 Pd 0.000 0.000 0.000
20 Pd 0.500 0.500 0.000

Computed properties:
Its total energy is -0.3166 Ry/atom. The space group is P4/mbm. Its density of states at the Fermi level is 0.159 states/eV/atom. The value obtained for the formation energy is -39 kJ/mol of atoms.

(8)
Sm2Al4Ag3Pd after structural relaxation. Source: the Alexandria database, functional GGA-PBE.

Cell lengths 4.343, 4.343, 10.759 Å; angles 90.00, 90.00, 90.00 degrees
Fractional coordinates of all 10 atoms:
1 Sm 0.000 0.500 0.247
2 Sm 0.500 0.000 0.753
3 Al 0.000 0.000 0.500
4 Al 0.000 0.500 0.874
5 Al 0.500 0.000 0.126
6 Al 0.500 0.500 0.500
7 Ag 0.000 0.000 0.000
8 Ag 0.000 0.500 0.638
9 Ag 0.500 0.000 0.362
10 Pd 0.500 0.500 0.000

Computed properties:
Its total energy is -0.3135 Ry/atom. The space group is P-4m2. Its density of states at the Fermi level is 0.627 states/eV/atom. The value obtained for the formation energy is -43 kJ/mol of atoms.

(9)
Sr2Al4AgPd3 after structural relaxation. Source: the Alexandria database, functional GGA-PBE.

Cell lengths 4.538, 4.538, 10.142 Å; angles 90.00, 90.00, 90.00 degrees
Fractional coordinates of all 10 atoms:
1 Sr 0.000 0.500 0.247
2 Sr 0.500 0.000 0.753
3 Al 0.000 0.000 0.500
4 Al 0.000 0.500 0.874
5 Al 0.500 0.000 0.126
6 Al 0.500 0.500 0.500
7 Ag 0.500 0.500 0.000
8 Pd 0.000 0.000 0.000
9 Pd 0.000 0.500 0.623
10 Pd 0.500 0.000 0.377

Computed properties:
Its total energy is -0.3162 Ry/atom. The space group is P-4m2. Its density of states at the Fermi level is 0.580 states/eV/atom. The value obtained for the formation energy is -60 kJ/mol of atoms.

(10)
SrAl4Ag2Pd after structural relaxation. Source: the Alexandria database, functional GGA-PBE.

Cell lengths 9.980, 9.980, 9.980 Å; angles 25.47, 25.47, 25.47 degrees
Fractional coordinates of all 8 atoms:
1 Sr 0.000 0.000 0.000
2 Al 0.135 0.135 0.135
3 Al 0.409 0.409 0.409
4 Al 0.591 0.591 0.591
5 Al 0.865 0.865 0.865
6 Ag 0.237 0.237 0.237
7 Ag 0.763 0.763 0.763
8 Pd 0.500 0.500 0.500

Computed properties:
Its total energy is -0.2769 Ry/atom. The space group is R-3m. Its density of states at the Fermi level is 0.326 states/eV/atom. The value obtained for the formation energy is -31 kJ/mol of atoms.

(11)
SrAl2Ag2Pd after structural relaxation. Source: the Alexandria database, functional GGA-PBE.

Cell lengths 4.781, 4.781, 5.997 Å; angles 90.00, 90.00, 90.00 degrees
Fractional coordinates of all 6 atoms:
1 Sr 0.000 0.000 0.000
2 Al 0.000 0.500 0.500
3 Al 0.500 0.000 0.500
4 Ag 0.500 0.500 0.237
5 Ag 0.500 0.500 0.763
6 Pd 0.000 0.000 0.500

Computed properties:
Its total energy is -0.2678 Ry/atom. The space group is P4/mmm. Its density of states at the Fermi level is 0.396 states/eV/atom. The value obtained for the formation energy is -29 kJ/mol of atoms.

(12)
Tb2Al2AgPd5 after structural relaxation. Source: the Alexandria database, functional GGA-PBE.

Cell lengths 9.981, 9.981, 3.672 Å; angles 90.00, 90.00, 90.00 degrees
Fractional coordinates of all 20 atoms:
1 Tb 0.179 0.321 0.000
2 Tb 0.321 0.821 0.000
3 Tb 0.679 0.179 0.000
4 Tb 0.821 0.679 0.000
5 Al 0.118 0.618 0.000
6 Al 0.382 0.118 0.000
7 Al 0.618 0.882 0.000
8 Al 0.882 0.382 0.000
9 Ag 0.000 0.000 0.000
10 Ag 0.500 0.500 0.000
11 Pd 0.000 0.500 0.500
12 Pd 0.065 0.789 0.500
13 Pd 0.211 0.065 0.500
14 Pd 0.289 0.565 0.500
15 Pd 0.435 0.289 0.500
16 Pd 0.500 0.000 0.500
17 Pd 0.565 0.711 0.500
18 Pd 0.711 0.435 0.500
19 Pd 0.789 0.935 0.500
20 Pd 0.935 0.211 0.500

Computed properties:
Its total energy is -0.3848 Ry/atom. The space group is P4/mbm. Its density of states at the Fermi level is 0.675 states/eV/atom. The value obtained for the formation energy is -65 kJ/mol of atoms.

(13)
TbAlAgPd after structural relaxation. Source: the Alexandria database, functional GGA-PBE.

Cell lengths 4.780, 4.780, 4.780 Å; angles 60.00, 60.00, 60.00 degrees
Fractional coordinates of all 4 atoms:
1 Tb 0.000 0.000 0.000
2 Al 0.500 0.500 0.500
3 Ag 0.250 0.250 0.250
4 Pd 0.750 0.750 0.750

Computed properties:
Its total energy is -0.3418 Ry/atom. The space group is F-43m. Its density of states at the Fermi level is 0.700 states/eV/atom. The value obtained for the formation energy is -53 kJ/mol of atoms.

(14)
ThAlAgPd after structural relaxation. Source: the Alexandria database, functional GGA-PBE.

Cell lengths 4.917, 4.917, 4.917 Å; angles 60.00, 60.00, 60.00 degrees
Fractional coordinates of all 4 atoms:
1 Th 0.000 0.000 0.000
2 Al 0.500 0.500 0.500
3 Ag 0.250 0.250 0.250
4 Pd 0.750 0.750 0.750

Computed properties:
Its total energy is -0.3853 Ry/atom. The space group is F-43m. Its density of states at the Fermi level is 0.670 states/eV/atom. The value obtained for the formation energy is -43 kJ/mol of atoms.

(15)
ThAl4AgPd2 after structural relaxation. Source: the Alexandria database, functional GGA-PBE.

Cell lengths 9.436, 9.436, 9.436 Å; angles 26.47, 26.47, 26.47 degrees
Fractional coordinates of all 8 atoms:
1 Th 0.000 0.000 0.000
2 Al 0.125 0.125 0.125
3 Al 0.403 0.403 0.403
4 Al 0.597 0.597 0.597
5 Al 0.875 0.875 0.875
6 Ag 0.500 0.500 0.500
7 Pd 0.239 0.239 0.239
8 Pd 0.761 0.761 0.761

Computed properties:
Its total energy is -0.3671 Ry/atom. The space group is R-3m. Its density of states at the Fermi level is 0.414 states/eV/atom. The value obtained for the formation energy is -52 kJ/mol of atoms.

(16)
ThAl3AgPd after structural relaxation. Source: the Alexandria database, functional GGA-PBE.

Cell lengths 7.249, 7.249, 6.036 Å; angles 90.00, 90.00, 130.92 degrees
Fractional coordinates of all 12 atoms:
1 Th 0.206 0.794 0.750
2 Th 0.794 0.206 0.250
3 Al 0.214 0.214 0.000
4 Al 0.214 0.214 0.500
5 Al 0.369 0.631 0.250
6 Al 0.631 0.369 0.750
7 Al 0.786 0.786 0.000
8 Al 0.786 0.786 0.500
9 Ag 0.157 0.843 0.250
10 Ag 0.843 0.157 0.750
11 Pd 0.415 0.585 0.750
12 Pd 0.585 0.415 0.250

Computed properties:
Its total energy is -0.3514 Ry/atom. The space group is Cmcm. Its density of states at the Fermi level is 0.505 states/eV/atom. The value obtained for the formation energy is -32 kJ/mol of atoms.

(17)
TmAl3AgPd after structural relaxation. Source: the Alexandria database, functional GGA-PBE.

Cell lengths 7.126, 7.126, 5.869 Å; angles 90.00, 90.00, 130.62 degrees
Fractional coordinates of all 12 atoms:
1 Tm 0.201 0.799 0.750
2 Tm 0.799 0.201 0.250
3 Al 0.218 0.218 0.000
4 Al 0.218 0.218 0.500
5 Al 0.367 0.633 0.250
6 Al 0.633 0.367 0.750
7 Al 0.782 0.782 0.000
8 Al 0.782 0.782 0.500
9 Ag 0.160 0.840 0.250
10 Ag 0.840 0.160 0.750
11 Pd 0.408 0.592 0.750
12 Pd 0.592 0.408 0.250

Computed properties:
Its total energy is -0.3204 Ry/atom. The space group is Cmcm. Its density of states at the Fermi level is 0.299 states/eV/atom. The value obtained for the formation energy is -39 kJ/mol of atoms.

(18)
Tm4AlAg2Pd after structural relaxation. Source: the Alexandria database, functional GGA-PBE.

Cell lengths 8.694, 8.694, 8.694 Å; angles 33.62, 33.62, 33.62 degrees
Fractional coordinates of all 8 atoms:
1 Tm 0.120 0.120 0.120
2 Tm 0.372 0.372 0.372
3 Tm 0.628 0.628 0.628
4 Tm 0.880 0.880 0.880
5 Al 0.500 0.500 0.500
6 Ag 0.243 0.243 0.243
7 Ag 0.757 0.757 0.757
8 Pd 0.000 0.000 0.000

Computed properties:
Its total energy is -0.3359 Ry/atom. The space group is R-3m. Its density of states at the Fermi level is 0.730 states/eV/atom. The value obtained for the formation energy is -49 kJ/mol of atoms.

(19)
Al2AgPdW after structural relaxation. Source: the Alexandria database, functional GGA-PBE.

Cell lengths 4.581, 4.581, 4.940 Å; angles 90.00, 90.00, 90.00 degrees
Fractional coordinates of all 5 atoms:
1 Al 0.000 0.500 0.000
2 Al 0.500 0.000 0.000
3 Ag 0.000 0.000 0.500
4 Pd 0.500 0.500 0.000
5 W 0.500 0.500 0.500

Computed properties:
Its total energy is -0.3530 Ry/atom. The space group is P4/mmm. Its density of states at the Fermi level is 0.717 states/eV/atom. The value obtained for the formation energy is 86 kJ/mol of atoms.

(20)
YAlAgPd after structural relaxation. Source: the Alexandria database, functional GGA-PBE.

Cell lengths 4.772, 4.772, 4.772 Å; angles 60.00, 60.00, 60.00 degrees
Fractional coordinates of all 4 atoms:
1 Y 0.000 0.000 0.000
2 Al 0.500 0.500 0.500
3 Ag 0.250 0.250 0.250
4 Pd 0.750 0.750 0.750

Computed properties:
Its total energy is -0.3763 Ry/atom. The space group is F-43m. Its density of states at the Fermi level is 0.663 states/eV/atom. The value obtained for the formation energy is -54 kJ/mol of atoms.

(21)
Y4AlAg2Pd after structural relaxation. Source: the Alexandria database, functional GGA-PBE.

Cell lengths 8.834, 8.834, 8.834 Å; angles 33.60, 33.60, 33.60 degrees
Fractional coordinates of all 8 atoms:
1 Y 0.121 0.121 0.121
2 Y 0.372 0.372 0.372
3 Y 0.628 0.628 0.628
4 Y 0.879 0.879 0.879
5 Al 0.500 0.500 0.500
6 Ag 0.243 0.243 0.243
7 Ag 0.757 0.757 0.757
8 Pd 0.000 0.000 0.000

Computed properties:
Its total energy is -0.4081 Ry/atom. The space group is R-3m. Its density of states at the Fermi level is 0.794 states/eV/atom. The value obtained for the formation energy is -47 kJ/mol of atoms.

(22)
AlZnAgPd after structural relaxation. Source: the Alexandria database, functional GGA-PBE.

Cell lengths 4.423, 4.423, 4.423 Å; angles 60.00, 60.00, 60.00 degrees
Fractional coordinates of all 4 atoms:
1 Al 0.000 0.000 0.000
2 Zn 0.500 0.500 0.500
3 Ag 0.750 0.750 0.750
4 Pd 0.250 0.250 0.250

Computed properties:
Its total energy is -0.2676 Ry/atom. The space group is F-43m. Its density of states at the Fermi level is 0.670 states/eV/atom. The value obtained for the formation energy is -36 kJ/mol of atoms.

(23)
ZrAlAgPd after structural relaxation. Source: the Alexandria database, functional GGA-PBE.

Cell lengths 4.633, 4.633, 4.633 Å; angles 60.00, 60.00, 60.00 degrees
Fractional coordinates of all 4 atoms:
1 Zr 0.000 0.000 0.000
2 Al 0.500 0.500 0.500
3 Ag 0.250 0.250 0.250
4 Pd 0.750 0.750 0.750

Computed properties:
Its total energy is -0.4098 Ry/atom. The space group is F-43m. Its density of states at the Fermi level is 0.440 states/eV/atom. The value obtained for the formation energy is -47 kJ/mol of atoms.

(24)
Pm4Al12Ag after structural relaxation. Source: the Alexandria database, functional GGA-PBE.

Cell lengths 7.649, 7.649, 7.649 Å; angles 109.47, 109.47, 109.47 degrees
Fractional coordinates of all 17 atoms:
1 Pm 0.000 0.000 0.500
2 Pm 0.000 0.500 0.000
3 Pm 0.500 0.000 0.000
4 Pm 0.500 0.500 0.500
5 Al 0.000 0.303 0.303
6 Al 0.000 0.697 0.697
7 Al 0.250 0.500 0.750
8 Al 0.250 0.750 0.500
9 Al 0.303 0.000 0.303
10 Al 0.303 0.303 0.000
11 Al 0.500 0.250 0.750
12 Al 0.500 0.750 0.250
13 Al 0.697 0.000 0.697
14 Al 0.697 0.697 0.000
15 Al 0.750 0.250 0.500
16 Al 0.750 0.500 0.250
17 Ag 0.000 0.000 0.000

Computed properties:
Its total energy is -0.3204 Ry/atom. The space group is Im-3m. Its density of states at the Fermi level is 0.122 states/eV/atom. The value obtained for the formation energy is -42 kJ/mol of atoms.